[1]
CdFe2Rh | GGA-PBEsol | optimized geometry

Structure (POSCAR):
```
CdFe2Rh
1.0
-0.576 -2.565 -1.328
-0.645 -1.206 2.608
-6.089 1.732 -0.705
Cd Fe Rh
1 2 1
Direct
0.500 0.500 0.758 Cd
0.000 0.000 0.039 Fe
0.500 0.500 0.239 Fe
0.000 0.000 0.464 Rh
```

Properties
DFT formation energy in kJ per mole of atoms: 11
V in Å³/cell: 55.2
Symmetry: P4mm, No. 99
Mass density in g cm⁻³: 9.830

[2]
CdFeRh3 | GGA-PBEsol | optimized geometry

Structure (POSCAR):
```
CdFeRh3
1.0
4.720 0.000 0.000
0.000 4.720 0.000
0.000 0.000 4.720
Rh Fe Cd
3 1 1
Direct
0.000 0.500 0.000 Rh
0.000 0.000 0.500 Rh
0.500 0.000 0.000 Rh
0.500 0.500 0.500 Fe
0.000 0.000 0.000 Cd
```

Properties
DFT formation energy in kJ per mole of atoms: 203
V in Å³/cell: 105.2
Symmetry: Pm-3m, No. 221
Mass density in g cm⁻³: 7.530

[3]
CdFe2Rh | GGA-PBEsol | optimized geometry

Structure (POSCAR):
```
CdFe2Rh
1.0
3.844 0.000 0.000
0.000 3.844 0.000
-1.922 -1.922 3.740
Cd Fe Rh
1 2 1
Direct
0.250 0.750 0.500 Cd
0.000 0.000 0.000 Fe
0.750 0.250 0.500 Fe
0.500 0.500 0.000 Rh
```

Properties
DFT formation energy in kJ per mole of atoms: 22
V in Å³/cell: 55.3
Symmetry: I-4m2, No. 119
Mass density in g cm⁻³: 9.824

[4]
CdFe3Rh | GGA-PBEsol | optimized geometry

Structure (POSCAR):
```
CdFe3Rh
1.0
-3.296 1.150 2.897
-3.116 -1.275 -3.039
0.044 -4.198 1.716
Rh Fe Cd
1 3 1
Direct
0.000 0.000 0.000 Rh
0.000 0.500 0.000 Fe
0.000 0.000 0.500 Fe
0.500 0.000 0.000 Fe
0.500 0.500 0.500 Cd
```

Properties
DFT formation energy in kJ per mole of atoms: 118
V in Å³/cell: 93.3
Symmetry: Pm-3m, No. 221
Mass density in g cm⁻³: 6.812

[5]
CdFeRh2 | GGA-PBEsol | optimized geometry

Structure (POSCAR):
```
CdFeRh2
1.0
2.989 0.000 0.000
0.000 2.989 0.000
0.000 0.000 6.461
Rh Fe Cd
2 1 1
Direct
0.000 0.000 0.718 Rh
0.000 0.000 0.282 Rh
0.500 0.500 0.500 Fe
0.500 0.500 0.000 Cd
```

Properties
DFT formation energy in kJ per mole of atoms: -5
V in Å³/cell: 57.7
Symmetry: P4/mmm, No. 123
Mass density in g cm⁻³: 10.764

[6]
Cd2FeRh | GGA-PBEsol | optimized geometry

Structure (POSCAR):
```
Cd2FeRh
1.0
-0.812 4.119 -1.509
-2.773 2.687 2.233
1.606 3.536 2.194
Cd Fe Rh
2 1 1
Direct
0.000 0.000 0.000 Cd
0.750 0.750 0.750 Cd
0.500 0.500 0.500 Fe
0.250 0.250 0.250 Rh
```

Properties
DFT formation energy in kJ per mole of atoms: 17
V in Å³/cell: 62.8
Symmetry: F-43m, No. 216
Mass density in g cm⁻³: 10.148